(1)
Entry from the Alexandria database: crystalline Pr3Nd3TlGa2 at its relaxed geometry (PBE).

a b c (Å): 3.869 8.978 8.978
angles (deg): 120.00 90.00 90.00
Atoms (fractional coordinates):
Pr 0.500 0.708 0.000
Pr 0.500 0.000 0.708
Pr 0.500 0.292 0.292
Nd 0.000 0.608 0.608
Nd 0.000 0.000 0.392
Nd 0.000 0.392 0.000
Tl 0.000 0.000 0.000
Ga 0.500 0.667 0.333
Ga 0.500 0.333 0.667

Results
total moment: 0.000 μB/f.u.
formation energy from the elements: -304 meV/atom
calculated density: 7.4 Mg/m³
density of states at the Fermi level: 8.5 states/eV per cell
space group: P-62m (189)

(2)
Entry from the Alexandria database: crystalline Pr5TmGe4 at its relaxed geometry (PBE).

a b c (Å): 5.096 7.050 10.847
angles (deg): 129.24 103.59 90.00
Atoms (fractional coordinates):
Pr 0.834 0.674 0.668
Pr 0.836 0.170 0.672
Pr 0.164 0.830 0.328
Pr 0.500 0.500 0.000
Pr 0.166 0.326 0.332
Tm 0.500 0.000 0.000
Ge 0.325 0.898 0.651
Ge 0.992 0.746 0.983
Ge 0.675 0.102 0.349
Ge 0.008 0.254 0.017

Results
total moment: 0.000 μB/f.u.
formation energy from the elements: -599 meV/atom
calculated density: 6.7 Mg/m³
density of states at the Fermi level: 5.6 states/eV per cell
space group: C2/m (12)